Entry 1:
A plane-wave DFT calculation with PBE-GGA was carried out for an optimized crystal structure of GdEr2Mg3CdGa2.

Unit cell a=4.4617 b=7.3654 c=7.3654 alpha=120.40 beta=90.00 gamma=90.00
With the nearest neighbours (Å) after each atom.
Atoms (fractional coordinates):
Gd: 0.0000 0.0000 0.0000  4 Ga 3.14, 1 Cd 3.19, 2 Mg 3.23
Er: 0.0000 0.1365 0.5688  4 Ga 3.11, 1 Cd 3.17, 2 Mg 3.24
Er: 0.0000 0.5688 0.1365  4 Ga 3.11, 1 Cd 3.17, 2 Mg 3.24
Mg: 0.5000 0.3187 0.3187  2 Ga 2.82, 2 Cd 2.86
Mg: 0.5000 0.5677 0.8167  2 Ga 2.80-2.81, 2 Cd 2.90
Mg: 0.5000 0.8167 0.5677  2 Ga 2.80-2.81, 2 Cd 2.90
Cd: 0.0000 0.5642 0.5642  6 Mg 2.86-2.90, 2 Er 3.17, 1 Gd 3.19
Ga: 0.5000 0.2370 0.9010  3 Mg 2.80-2.82, 4 Er 3.11, 2 Gd 3.14
Ga: 0.5000 0.9010 0.2370  3 Mg 2.80-2.82, 4 Er 3.11, 2 Gd 3.14

Summary:
The symmetry is No. 38. The magnetization comes out at 0.000 μB/atom. The calculation puts the total energy at -3.25 eV/atom.

Entry 2:
A plane-wave DFT calculation with PBE-GGA was carried out for an optimized crystal structure of SiPdNO.

Unit cell a=5.2584 b=7.5068 c=5.3139 alpha=90.00 beta=90.00 gamma=90.00
With the nearest neighbours (Å) after each atom.
Atoms (fractional coordinates):
Si: 0.2051 0.1966 0.0000  2 O 1.66, 1 N 1.70
Si: 0.2949 0.1966 0.5000  2 O 1.66, 1 N 1.70
Si: 0.7051 0.8034 0.0000  2 O 1.66, 1 N 1.70
Si: 0.7949 0.8034 0.5000  2 O 1.66, 1 N 1.70
Pd: 0.0209 0.4527 0.4159  2 N 2.01-2.06
Pd: 0.4791 0.4527 0.9159  2 N 2.01-2.06
Pd: 0.5209 0.5473 0.4159  2 N 2.01-2.06
Pd: 0.9791 0.5473 0.9159  2 N 2.01-2.06
N: 0.0548 0.6905 0.6060  1 Si 1.70
N: 0.4452 0.6905 0.1060  1 Si 1.70
N: 0.5548 0.3095 0.6060  1 Si 1.70
N: 0.9452 0.3095 0.1060  1 Si 1.70
O: 0.1731 0.0800 0.7372  2 Si 1.66
O: 0.3269 0.0800 0.2372  2 Si 1.66
O: 0.6731 0.9200 0.7372  2 Si 1.66
O: 0.8269 0.9200 0.2372  2 Si 1.66

Summary:
The symmetry is No. 29. The calculation puts the total energy at -6.60 eV/atom.

Entry 3:
A plane-wave DFT calculation with PBE-GGA was carried out for an optimized crystal structure of KTlGaPt.

Unit cell a=7.5564 b=6.9279 c=6.9279 alpha=36.41 beta=90.00 gamma=90.00
With the nearest neighbours (Å) after each atom.
Atoms (fractional coordinates):
K: 0.0000 0.0000 0.0000  1 Pt 3.18, 4 Tl 3.43
K: 0.5000 0.0968 0.0968  2 Pt 3.37, 4 Ga 3.65
Tl: 0.2929 0.3882 0.3882  3 Pt 2.94-2.95, 1 Tl 3.13, 2 Ga 3.14
Tl: 0.7071 0.3882 0.3882  3 Pt 2.94-2.95, 1 Tl 3.13, 2 Ga 3.14
Ga: 0.1837 0.7267 0.7267  3 Pt 2.55-2.58, 1 Ga 2.78
Ga: 0.8163 0.7267 0.7267  3 Pt 2.55-2.58, 1 Ga 2.78
Pt: 0.0000 0.2414 0.2414  4 Ga 2.58
Pt: 0.5000 0.7935 0.7935  2 Ga 2.55

Summary:
The symmetry is No. 38. The magnetization comes out at 0.000 μB/atom. The calculation puts the total energy at -3.45 eV/atom.

Entry 4:
A plane-wave DFT calculation with PBE-GGA was carried out for an optimized crystal structure of RbAlCdS3.

Unit cell a=7.7399 b=7.7399 c=11.0873 alpha=90.00 beta=90.00 gamma=151.31
With the nearest neighbours (Å) after each atom.
Atoms (fractional coordinates):
Rb: 0.2434 0.7566 0.7500  6 S 3.37-3.46
Rb: 0.7566 0.2434 0.2500  6 S 3.37-3.46
Al: 0.0327 0.9673 0.2500  4 S 2.23-2.36
Al: 0.9673 0.0327 0.7500  4 S 2.23-2.36
Cd: 0.5000 0.5000 0.0000  6 S 2.69-2.91
Cd: 0.5000 0.5000 0.5000  6 S 2.69-2.91
S: 0.1116 0.8884 0.0791  1 Al 2.23
S: 0.1116 0.8884 0.4209  1 Al 2.23
S: 0.4413 0.5587 0.2500  2 Al 2.36
S: 0.5587 0.4413 0.7500  2 Al 2.36
S: 0.8884 0.1116 0.5791  1 Al 2.23
S: 0.8884 0.1116 0.9209  1 Al 2.23

Summary:
The symmetry is No. 63. The calculation puts the total energy at -4.01 eV/atom.

Entry 5:
A plane-wave DFT calculation with PBE-GGA was carried out for an optimized crystal structure of PuZn.

Unit cell a=4.3770 b=2.6218 c=5.6213 alpha=90.00 beta=90.00 gamma=90.00
With the nearest neighbours (Å) after each atom.
Atoms (fractional coordinates):
Pu: 0.2500 0.0000 0.0924  4 Pu 2.42-2.62
Pu: 0.7500 0.0000 0.9076  4 Pu 2.42-2.62
Zn: 0.2500 0.5000 0.6022  4 Zn 2.47-2.62
Zn: 0.7500 0.5000 0.3978  4 Zn 2.47-2.62

Summary:
The symmetry is No. 51. The magnetization comes out at 0.533 μB/atom. For the energy of formation from the pure elements, the calculation gives 0.0 eV per formula unit.

Entry 6:
A plane-wave DFT calculation with PBE-GGA was carried out for an optimized crystal structure of Sm3Co2B2P3.

Unit cell a=11.3405 b=11.3405 c=11.3405 alpha=159.99 beta=159.99 gamma=28.45
With the nearest neighbours (Å) after each atom.
Atoms (fractional coordinates):
Sm: 0.0000 0.0000 0.0000  6 P 2.79
Sm: 0.3618 0.3618 0.0000  5 P 2.80-3.04
Sm: 0.6382 0.6382 0.0000  5 P 2.80-3.04
Co: 0.2500 0.7500 0.5000  4 B 2.11
Co: 0.7500 0.2500 0.5000  4 B 2.11
B: 0.2161 0.2161 0.0000  1 P 1.97, 4 Co 2.11
B: 0.7839 0.7839 0.0000  1 P 1.97, 4 Co 2.11
P: 0.1267 0.1267 0.0000  1 B 1.97
P: 0.5000 0.5000 0.0000  6 Sm 2.79-3.04
P: 0.8733 0.8733 0.0000  1 B 1.97

Summary:
The symmetry is No. 139. The magnetization comes out at 0.000 μB/atom. The calculation puts the total energy at -6.64 eV/atom.

Entry 7:
A plane-wave DFT calculation with PBE-GGA was carried out for an optimized crystal structure of SrCoCuW.

Unit cell a=4.5367 b=4.5367 c=4.5367 alpha=60.00 beta=60.00 gamma=60.00
With the nearest neighbours (Å) after each atom.
Atoms (fractional coordinates):
Sr: 0.0000 0.0000 0.0000  4 W 2.78, 4 Co 2.78
Co: 0.7500 0.7500 0.7500  4 Sr 2.78, 4 Cu 2.78
Cu: 0.5000 0.5000 0.5000  4 Co 2.78, 4 W 2.78
W: 0.2500 0.2500 0.2500  4 Cu 2.78, 4 Sr 2.78

Summary:
The symmetry is No. 216. The magnetization comes out at 0.032 μB/atom. The calculation puts the total energy at -4.98 eV/atom.

Entry 8:
A plane-wave DFT calculation with PBE-GGA was carried out for an optimized crystal structure of NaHoHgTe3.

Unit cell a=8.9302 b=4.4888 c=18.4644 alpha=90.00 beta=90.00 gamma=90.00
With the nearest neighbours (Å) after each atom.
Atoms (fractional coordinates):
Na: 0.0781 0.2500 0.1958  6 Te 3.33-3.45, 2 Hg 3.55
Na: 0.4219 0.7500 0.6958  6 Te 3.33-3.45, 2 Hg 3.55
Na: 0.5781 0.2500 0.3042  6 Te 3.33-3.45, 2 Hg 3.55
Na: 0.9219 0.7500 0.8042  6 Te 3.33-3.45, 2 Hg 3.55
Ho: 0.2212 0.2500 0.9626  7 Te 3.06-3.35
Ho: 0.2788 0.7500 0.4626  7 Te 3.06-3.35
Ho: 0.7212 0.2500 0.5374  7 Te 3.06-3.35
Ho: 0.7788 0.7500 0.0374  7 Te 3.06-3.35
Hg: 0.0422 0.2500 0.6673  4 Te 2.79-3.01
Hg: 0.4578 0.7500 0.1673  4 Te 2.79-3.01
Hg: 0.5422 0.2500 0.8327  4 Te 2.79-3.01
Hg: 0.9578 0.7500 0.3327  4 Te 2.79-3.01
Te: 0.0090 0.2500 0.4283  2 Hg 2.89
Te: 0.1243 0.7500 0.0647  3 Ho 3.06-3.13, 2 Na 3.33
Te: 0.2147 0.2500 0.7932  2 Hg 2.79-3.01
Te: 0.2853 0.7500 0.2932  2 Hg 2.79-3.01
Te: 0.3757 0.2500 0.5647  3 Ho 3.06-3.13, 2 Na 3.33
Te: 0.4910 0.7500 0.9283  2 Hg 2.89
Te: 0.5090 0.2500 0.0717  2 Hg 2.89
Te: 0.6243 0.7500 0.4353  3 Ho 3.06-3.13, 2 Na 3.33
Te: 0.7147 0.2500 0.7068  2 Hg 2.79-3.01
Te: 0.7853 0.7500 0.2068  2 Hg 2.79-3.01
Te: 0.8757 0.2500 0.9353  3 Ho 3.06-3.13, 2 Na 3.33
Te: 0.9910 0.7500 0.5717  2 Hg 2.89

Summary:
The symmetry is No. 62. The magnetization comes out at 0.000 μB/atom. The calculation puts the total energy at -3.39 eV/atom.

Entry 9:
A plane-wave DFT calculation with PBE-GGA was carried out for an optimized crystal structure of NdErFe.

Unit cell a=4.7224 b=4.7224 c=4.7224 alpha=60.00 beta=60.00 gamma=60.00
With the nearest neighbours (Å) after each atom.
Atoms (fractional coordinates):
Nd: 0.0000 0.0000 0.0000  4 Fe 2.89
Er: 0.5000 0.5000 0.5000  4 Fe 2.89
Fe: 0.7500 0.7500 0.7500  4 Nd 2.89, 4 Er 2.89

Summary:
The symmetry is No. 216. The magnetization comes out at 0.088 μB/atom. For the energy of formation from the pure elements, the calculation gives 0.7 eV per formula unit.

Entry 10:
A plane-wave DFT calculation with PBE-GGA was carried out for an optimized crystal structure of TbAlPO.

Unit cell a=4.0483 b=4.0483 c=9.3835 alpha=90.00 beta=90.00 gamma=90.00
With the nearest neighbours (Å) after each atom.
Atoms (fractional coordinates):
Tb: 0.2500 0.7500 0.0000  4 P 2.75, 4 Tb 2.86
Tb: 0.7500 0.2500 0.0000  4 P 2.75, 4 Tb 2.86
Al: 0.2500 0.2500 0.4428  4 O 2.09, 1 P 2.30
Al: 0.7500 0.7500 0.5572  4 O 2.09, 1 P 2.30
P: 0.2500 0.2500 0.1980  1 Al 2.30
P: 0.7500 0.7500 0.8020  1 Al 2.30
O: 0.2500 0.7500 0.5000  4 Al 2.09
O: 0.7500 0.2500 0.5000  4 Al 2.09

Summary:
The symmetry is No. 129. The magnetization comes out at 0.001 μB/atom. The calculation puts the total energy at -5.72 eV/atom.

Entry 11:
A plane-wave DFT calculation with PBE-GGA was carried out for an optimized crystal structure of BeAg2Pt.

Unit cell a=4.3880 b=4.3880 c=4.3880 alpha=60.00 beta=60.00 gamma=60.00
With the nearest neighbours (Å) after each atom.
Atoms (fractional coordinates):
Be: 0.0000 0.0000 0.0000  4 Pt 2.69, 4 Ag 2.69
Ag: 0.2500 0.2500 0.2500  4 Ag 2.69, 4 Be 2.69
Ag: 0.5000 0.5000 0.5000  4 Pt 2.69, 4 Ag 2.69
Pt: 0.7500 0.7500 0.7500  4 Ag 2.69, 4 Be 2.69

Summary:
The symmetry is No. 216. The magnetization comes out at 0.000 μB/atom. The calculation puts the total energy at -3.81 eV/atom.

Entry 12:
A plane-wave DFT calculation with PBE-GGA was carried out for an optimized crystal structure of PmSiO3.

Unit cell a=5.2779 b=5.2779 c=3.7198 alpha=90.00 beta=90.00 gamma=90.00
With the nearest neighbours (Å) after each atom.
Atoms (fractional coordinates):
Pm: 0.0000 0.5000 0.0000  12 O 2.63-2.64
Pm: 0.5000 0.0000 0.0000  12 O 2.63-2.64
Si: 0.0000 0.0000 0.5000  6 O 1.86-1.87
Si: 0.5000 0.5000 0.5000  6 O 1.86-1.87
O: 0.0000 0.0000 0.0000  2 Si 1.86
O: 0.2491 0.2509 0.5000  2 Si 1.87
O: 0.2509 0.7509 0.5000  2 Si 1.87
O: 0.5000 0.5000 0.0000  2 Si 1.86
O: 0.7491 0.2491 0.5000  2 Si 1.87
O: 0.7509 0.7491 0.5000  2 Si 1.87

Summary:
The symmetry is No. 127. The magnetization comes out at 0.000 μB/atom. The calculation puts the total energy at -7.43 eV/atom.

Entry 13:
A plane-wave DFT calculation with PBE-GGA was carried out for an optimized crystal structure of U2BiN2.

Unit cell a=6.0473 b=6.0473 c=6.0473 alpha=135.68 beta=135.68 gamma=64.47
With the nearest neighbours (Å) after each atom.
Atoms (fractional coordinates):
U: 0.2500 0.7500 0.5000  4 N 2.30
U: 0.7500 0.2500 0.5000  4 N 2.30
Bi: 0.0000 0.0000 0.0000  2 N 2.88
N: 0.2813 0.2813 0.0000  4 U 2.30
N: 0.7187 0.7187 0.0000  4 U 2.30

Summary:
The symmetry is No. 139. The magnetization comes out at 0.629 μB/atom. The calculation puts the total energy at -9.20 eV/atom.

Entry 14:
A plane-wave DFT calculation with PBE-GGA was carried out for an optimized crystal structure of ScSi2Au.

Unit cell a=4.6458 b=4.6458 c=4.6458 alpha=60.00 beta=60.00 gamma=60.00
With the nearest neighbours (Å) after each atom.
Atoms (fractional coordinates):
Sc: 0.0000 0.0000 0.0000  4 Si 2.84, 4 Au 2.84
Si: 0.5000 0.5000 0.5000  4 Si 2.84, 4 Au 2.84
Si: 0.7500 0.7500 0.7500  4 Si 2.84, 4 Sc 2.84
Au: 0.2500 0.2500 0.2500  4 Sc 2.84, 4 Si 2.84

Summary:
The symmetry is No. 216. The magnetization comes out at 0.002 μB/atom. The calculation puts the total energy at -5.18 eV/atom.

Entry 15:
A plane-wave DFT calculation with PBE-GGA was carried out for an optimized crystal structure of Ba2CoH6Au.

Unit cell a=5.6849 b=5.6849 c=5.6849 alpha=60.00 beta=60.00 gamma=60.00
With the nearest neighbours (Å) after each atom.
Atoms (fractional coordinates):
Ba: 0.2500 0.2500 0.2500  12 H 2.88
Ba: 0.7500 0.7500 0.7500  12 H 2.88
Co: 0.0000 0.0000 0.0000  6 H 1.58
H: 0.1961 0.1961 0.8039  1 Co 1.58
H: 0.1961 0.8039 0.1961  1 Co 1.58
H: 0.1961 0.8039 0.8039  1 Co 1.58
H: 0.8039 0.1961 0.1961  1 Co 1.58
H: 0.8039 0.1961 0.8039  1 Co 1.58
H: 0.8039 0.8039 0.1961  1 Co 1.58
Au: 0.5000 0.5000 0.5000  6 H 2.44

Summary:
The symmetry is No. 225. The magnetization comes out at 0.000 μB/atom. The calculation puts the total energy at -3.86 eV/atom.

Entry 16:
A plane-wave DFT calculation with PBE-GGA was carried out for an optimized crystal structure of Pr2ErMg3Ir3.

Unit cell a=4.1303 b=7.3595 c=7.3595 alpha=119.80 beta=90.00 gamma=90.00
With the nearest neighbours (Å) after each atom.
Atoms (fractional coordinates):
Pr: 0.0000 0.2066 0.7934  5 Ir 3.06-3.08, 6 Mg 3.28-3.38
Pr: 0.0000 0.7934 0.2066  5 Ir 3.06-3.08, 6 Mg 3.28-3.38
Er: 0.0000 0.6129 0.6129  5 Ir 2.94-2.97
Mg: 0.5000 0.2106 0.4499  4 Ir 2.70-2.96
Mg: 0.5000 0.4499 0.2106  4 Ir 2.70-2.96
Mg: 0.5000 0.9640 0.9640  4 Ir 2.77-2.79, 2 Mg 3.10
Ir: 0.0000 0.2150 0.2150  6 Mg 2.70-2.77, 1 Er 2.94
Ir: 0.5000 0.5454 0.8640  3 Mg 2.79-2.96, 2 Er 2.97, 4 Pr 3.06-3.08
Ir: 0.5000 0.8640 0.5454  3 Mg 2.79-2.96, 2 Er 2.97, 4 Pr 3.06-3.08

Summary:
The symmetry is No. 38. The magnetization comes out at 0.001 μB/atom. The calculation puts the total energy at -5.65 eV/atom.

Entry 17:
A plane-wave DFT calculation with PBE-GGA was carried out for an optimized crystal structure of SmWAu.

Unit cell a=4.7859 b=4.7859 c=4.7859 alpha=60.00 beta=60.00 gamma=60.00
With the nearest neighbours (Å) after each atom.
Atoms (fractional coordinates):
Sm: 0.0000 0.0000 0.0000  4 Au 2.93, 4 W 2.93
W: 0.2500 0.2500 0.2500  4 Sm 2.93
Au: 0.7500 0.7500 0.7500  4 Sm 2.93

Summary:
The symmetry is No. 216. The magnetization comes out at 1.042 μB/atom. For the energy of formation from the pure elements, the calculation gives 3.9 eV per formula unit.

Entry 18:
A plane-wave DFT calculation with PBE-GGA was carried out for an optimized crystal structure of Ho2Ga3Hg3.

Unit cell a=4.8335 b=6.4443 c=6.4443 alpha=59.94 beta=90.00 gamma=90.00
With the nearest neighbours (Å) after each atom.
Atoms (fractional coordinates):
Ho: 0.0000 0.0000 0.0000  6 Ga 3.08-3.33, 6 Hg 3.09-3.22
Ho: 0.5000 0.3353 0.3353  6 Hg 3.07-3.31, 6 Ga 3.12-3.22
Ga: 0.0000 0.5251 0.9826  3 Ga 2.95, 3 Hg 3.01-3.14, 3 Ho 3.12
Ga: 0.0000 0.9826 0.5251  3 Ga 2.95, 3 Hg 3.01-3.14, 3 Ho 3.12
Ga: 0.5000 0.8292 0.8292  4 Ga 2.95, 2 Hg 3.08, 4 Ho 3.08-3.22
Hg: 0.0000 0.5054 0.5054  4 Hg 3.07, 4 Ho 3.07-3.22, 4 Ga 3.14-3.31
Hg: 0.5000 0.3446 0.8439  3 Ga 3.01-3.08, 4 Hg 3.07-3.22, 4 Ho 3.09-3.31
Hg: 0.5000 0.8439 0.3446  3 Ga 3.01-3.08, 4 Hg 3.07-3.22, 4 Ho 3.09-3.31

Summary:
The symmetry is No. 38. The magnetization comes out at 0.000 μB/atom. The calculation puts the total energy at -2.76 eV/atom.

Entry 19:
A plane-wave DFT calculation with PBE-GGA was carried out for an optimized crystal structure of ErAgS2.

Unit cell a=7.1017 b=7.1017 c=7.1017 alpha=135.37 beta=135.37 gamma=64.96
With the nearest neighbours (Å) after each atom.
Atoms (fractional coordinates):
Er: 0.0000 0.0000 0.0000  6 S 2.70-2.75
Er: 0.7500 0.2500 0.5000  6 S 2.70-2.75
Ag: 0.2165 0.7165 0.5000  5 S 2.70-2.84
Ag: 0.4665 0.4665 0.0000  5 S 2.70-2.84
S: 0.2295 0.2295 0.0000  3 Ag 2.70-2.84, 3 Er 2.71-2.75
S: 0.5245 0.0245 0.5000  3 Er 2.70-2.71, 2 Ag 2.78
S: 0.7745 0.7745 0.0000  3 Er 2.70-2.71, 2 Ag 2.78
S: 0.9795 0.4795 0.5000  3 Ag 2.70-2.84, 3 Er 2.71-2.75

Summary:
The symmetry is No. 109. The magnetization comes out at 0.000 μB/atom. The calculation puts the total energy at -5.22 eV/atom.

Entry 20:
A plane-wave DFT calculation with PBE-GGA was carried out for an optimized crystal structure of YFeSnPt.

Unit cell a=4.6898 b=4.6898 c=4.6898 alpha=60.00 beta=60.00 gamma=60.00
With the nearest neighbours (Å) after each atom.
Atoms (fractional coordinates):
Y: 0.0000 0.0000 0.0000  4 Fe 2.87, 4 Pt 2.87
Fe: 0.7500 0.7500 0.7500  4 Sn 2.87, 4 Y 2.87
Sn: 0.5000 0.5000 0.5000  4 Fe 2.87, 4 Pt 2.87
Pt: 0.2500 0.2500 0.2500  4 Sn 2.87, 4 Y 2.87

Summary:
The symmetry is No. 216. The magnetization comes out at 0.469 μB/atom. The calculation puts the total energy at -6.63 eV/atom.